(1)
Material: BaTbSn
Method: DFT, PBE
State: optimized geometry

Cell: 5.2733 5.2733 4.8513 Å, 90.00 90.00 120.00°
With the nearest neighbours (Å) after each atom.
Element x y z (fractional)
Ba (0.0000, 0.0000, 0.0000)  6 Tb 3.89, 6 Sn 3.89
Tb (0.3333, 0.6667, 0.5000)  3 Sn 3.04
Sn (0.6667, 0.3333, 0.5000)  3 Tb 3.04

Output
E_tot (Ha/atom): -0.1429
Crystal system: hexagonal
Space-group type: No. 187
Energy of formation from the pure elements (eV/atom): -0.371

=====

(2)
Material: NaCdF3
Method: DFT, PBE
State: optimized geometry

Cell: 6.8184 6.8184 5.8675 Å, 95.50 95.50 51.04°
With the nearest neighbours (Å) after each atom.
Element x y z (fractional)
Na (0.2497, 0.7503, 0.5000)  5 F 2.14-2.35
Na (0.7503, 0.2497, 0.0000)  5 F 2.14-2.35
Cd (0.0874, 0.5867, 0.9648)  5 F 2.08-2.27
Cd (0.5867, 0.0874, 0.4648)  5 F 2.08-2.27
F (0.4104, 0.4125, 0.7306)  2 Cd 2.26-2.27, 2 Na 2.34-2.35
F (0.4125, 0.4104, 0.2306)  2 Cd 2.26-2.27, 2 Na 2.34-2.35
F (0.4148, 0.9188, 0.4285)  1 Cd 2.08, 1 Na 2.14
F (0.9096, 0.9123, 0.2301)  2 Cd 2.26-2.27, 2 Na 2.34-2.35
F (0.9123, 0.9096, 0.7301)  2 Cd 2.26-2.27, 2 Na 2.34-2.35
F (0.9188, 0.4148, 0.9285)  1 Cd 2.08, 1 Na 2.14

Output
E_tot (Ha/atom): -0.1435
Crystal system: monoclinic
Uncorrected formation energy (eV/atom): -2.34
Space-group type: No. 9